Entry 1:
DFT (PBE) results for a relaxed structure of TlFeMo2.

Cell: 9.228 9.228 9.228 Å, 18.17 18.17 18.17°
Sites, in units of the cell vectors:
Tl (0.000, 0.000, 0.000)
Fe (0.500, 0.500, 0.500)
Mo (0.241, 0.241, 0.241)
Mo (0.759, 0.759, 0.759)

Output
ΔH_f (0 K): 0.665 eV per atom
E: -7.458 eV per atom
theoretical density: 11.24 g cm⁻³
relative energy among the computed polymorphs: 88 kJ/mol of formula units

***

Entry 2:
DFT (PBE) results for a relaxed structure of Tl3FeMo.

Cell: 5.098 5.098 5.098 Å, 90.00 90.00 90.00°
Sites, in units of the cell vectors:
Tl (0.000, 0.000, 0.500)
Tl (0.000, 0.500, 0.000)
Tl (0.500, 0.000, 0.000)
Fe (0.000, 0.000, 0.000)
Mo (0.500, 0.500, 0.500)

Output
ΔH_f (0 K): 1.096 eV per atom
E: -4.182 eV per atom
theoretical density: 9.58 g cm⁻³
relative energy among the computed polymorphs: 0 kJ/mol of formula units

***

Entry 3:
DFT (PBE) results for a relaxed structure of TlFeMo2.

Cell: 4.533 4.533 4.533 Å, 60.00 60.00 60.00°
Sites, in units of the cell vectors:
Tl (0.000, 0.000, 0.000)
Fe (0.500, 0.500, 0.500)
Mo (0.250, 0.250, 0.250)
Mo (0.750, 0.750, 0.750)

Output
ΔH_f (0 K): 0.712 eV per atom
E: -7.411 eV per atom
theoretical density: 11.40 g cm⁻³
relative energy among the computed polymorphs: 106 kJ/mol of formula units

***

Entry 4:
DFT (PBE) results for a relaxed structure of TlFeMo2.

Cell: 2.829 4.342 5.666 Å, 90.00 102.29 90.00°
Sites, in units of the cell vectors:
Tl (0.000, 0.000, 0.000)
Fe (0.884, 0.500, 0.285)
Mo (0.370, 0.500, 0.710)
Mo (0.582, 0.000, 0.487)

Output
ΔH_f (0 K): 0.536 eV per atom
E: -7.587 eV per atom
theoretical density: 11.04 g cm⁻³
relative energy among the computed polymorphs: 38 kJ/mol of formula units

***

Entry 5:
DFT (PBE) results for a relaxed structure of TlFeMo2.

Cell: 5.786 5.786 5.786 Å, 101.89 101.89 126.00°
Sites, in units of the cell vectors:
Tl (0.000, 0.000, 0.000)
Tl (0.750, 0.250, 0.500)
Fe (0.250, 0.750, 0.500)
Fe (0.500, 0.500, 0.000)
Mo (0.192, 0.625, 0.067)
Mo (0.375, 0.442, 0.567)
Mo (0.558, 0.125, 0.933)
Mo (0.875, 0.808, 0.433)

Output
ΔH_f (0 K): 0.834 eV per atom
E: -7.289 eV per atom
theoretical density: 10.76 g cm⁻³
relative energy among the computed polymorphs: 153 kJ/mol of formula units

***

Entry 6:
DFT (PBE) results for a relaxed structure of TlFe3Mo.

Cell: 4.560 4.560 4.560 Å, 90.00 90.00 90.00°
Sites, in units of the cell vectors:
Tl (0.000, 0.000, 0.000)
Fe (0.000, 0.500, 0.500)
Fe (0.500, 0.000, 0.500)
Fe (0.500, 0.500, 0.000)
Mo (0.500, 0.500, 0.500)

Output
ΔH_f (0 K): 1.377 eV per atom
E: -6.340 eV per atom
theoretical density: 8.19 g cm⁻³

***

Entry 7:
DFT (PBE) results for a relaxed structure of TlFe2Mo.

Cell: 5.679 5.679 5.679 Å, 103.63 103.63 121.93°
Sites, in units of the cell vectors:
Tl (0.000, 0.000, 0.000)
Tl (0.750, 0.250, 0.500)
Fe (0.165, 0.125, 0.540)
Fe (0.375, 0.835, 0.960)
Fe (0.585, 0.625, 0.460)
Fe (0.875, 0.415, 0.040)
Mo (0.250, 0.750, 0.500)
Mo (0.500, 0.500, 0.000)

Output
ΔH_f (0 K): 0.927 eV per atom
E: -6.603 eV per atom
theoretical density: 10.07 g cm⁻³

***

Entry 8:
DFT (PBE) results for a relaxed structure of TlFeMo4.

Cell: 5.276 5.276 5.276 Å, 60.00 60.00 60.00°
Sites, in units of the cell vectors:
Tl (0.000, 0.000, 0.000)
Fe (0.250, 0.250, 0.250)
Mo (0.127, 0.624, 0.624)
Mo (0.624, 0.127, 0.624)
Mo (0.624, 0.624, 0.127)
Mo (0.624, 0.624, 0.624)

Output
ΔH_f (0 K): 0.640 eV per atom
E: -8.385 eV per atom
theoretical density: 10.30 g cm⁻³

***

Entry 9:
DFT (PBE) results for a relaxed structure of TlFe4Mo.

Cell: 4.867 4.867 4.867 Å, 60.00 60.00 60.00°
Sites, in units of the cell vectors:
Tl (0.000, 0.000, 0.000)
Fe (0.129, 0.624, 0.624)
Fe (0.624, 0.129, 0.624)
Fe (0.624, 0.624, 0.129)
Fe (0.624, 0.624, 0.624)
Mo (0.250, 0.250, 0.250)

Output
ΔH_f (0 K): 0.294 eV per atom
E: -7.547 eV per atom
theoretical density: 10.67 g cm⁻³

***

Entry 10:
DFT (PBE) results for a relaxed structure of TlFeMo2.

Cell: 3.891 3.891 4.297 Å, 90.00 90.00 90.00°
Sites, in units of the cell vectors:
Tl (0.000, 0.000, 0.000)
Fe (0.500, 0.500, 0.000)
Mo (0.000, 0.500, 0.500)
Mo (0.500, 0.000, 0.500)

Output
ΔH_f (0 K): 0.540 eV per atom
E: -7.583 eV per atom
theoretical density: 11.54 g cm⁻³
relative energy among the computed polymorphs: 39 kJ/mol of formula units

***

Entry 11:
DFT (PBE) results for a relaxed structure of TlFeMo2.

Cell: 2.848 4.143 5.701 Å, 90.00 96.20 90.00°
Sites, in units of the cell vectors:
Tl (0.000, 0.000, 0.000)
Fe (0.000, 0.000, 0.500)
Mo (0.430, 0.500, 0.707)
Mo (0.570, 0.500, 0.293)

Output
ΔH_f (0 K): 0.515 eV per atom
E: -7.608 eV per atom
theoretical density: 11.23 g cm⁻³
relative energy among the computed polymorphs: 30 kJ/mol of formula units

***

Entry 12:
DFT (PBE) results for a relaxed structure of TlFe2Mo.

Cell: 4.393 4.393 4.393 Å, 60.00 60.00 60.00°
Sites, in units of the cell vectors:
Tl (0.000, 0.000, 0.000)
Fe (0.250, 0.250, 0.250)
Fe (0.750, 0.750, 0.750)
Mo (0.500, 0.500, 0.500)

Output
ΔH_f (0 K): 0.566 eV per atom
E: -6.965 eV per atom
theoretical density: 11.42 g cm⁻³

***

Entry 13:
DFT (PBE) results for a relaxed structure of TlFeMo2.

Cell: 2.853 2.853 8.884 Å, 90.00 90.00 110.33°
Sites, in units of the cell vectors:
Tl (0.000, 0.000, 0.000)
Fe (0.500, 0.500, 0.740)
Mo (0.000, 0.000, 0.520)
Mo (0.500, 0.500, 0.284)

Output
ΔH_f (0 K): 0.485 eV per atom
E: -7.637 eV per atom
theoretical density: 11.07 g cm⁻³
relative energy among the computed polymorphs: 18 kJ/mol of formula units

***

Entry 14:
DFT (PBE) results for a relaxed structure of TlFe2Mo.

Cell: 4.840 4.840 4.840 Å, 132.20 132.20 69.91°
Sites, in units of the cell vectors:
Tl (0.000, 0.000, 0.000)
Fe (0.250, 0.750, 0.500)
Fe (0.500, 0.500, 0.000)
Mo (0.750, 0.250, 0.500)

Output
ΔH_f (0 K): 0.596 eV per atom
E: -6.934 eV per atom
theoretical density: 11.21 g cm⁻³

***

Entry 15:
DFT (PBE) results for a relaxed structure of TlFeMo2.

Cell: 3.312 3.312 6.152 Å, 90.00 90.00 90.00°
Sites, in units of the cell vectors:
Tl (0.000, 0.000, 0.000)
Fe (0.500, 0.500, 0.269)
Mo (0.000, 0.000, 0.483)
Mo (0.500, 0.500, 0.692)

Output
ΔH_f (0 K): 0.438 eV per atom
E: -7.685 eV per atom
theoretical density: 11.13 g cm⁻³
relative energy among the computed polymorphs: 0 kJ/mol of formula units

***

Entry 16:
DFT (PBE) results for a relaxed structure of TlFeMo2.

Cell: 5.157 5.157 5.157 Å, 141.77 127.67 66.63°
Sites, in units of the cell vectors:
Tl (0.000, 0.000, 0.000)
Fe (0.255, 0.755, 0.500)
Mo (0.491, 0.491, 0.000)
Mo (0.725, 0.225, 0.500)

Output
ΔH_f (0 K): 0.534 eV per atom
E: -7.589 eV per atom
theoretical density: 11.34 g cm⁻³
relative energy among the computed polymorphs: 37 kJ/mol of formula units

***

Entry 17:
DFT (PBE) results for a relaxed structure of TlFeMo2.

Cell: 5.001 5.001 2.901 Å, 90.00 90.00 114.35°
Sites, in units of the cell vectors:
Tl (0.000, 0.000, 0.000)
Fe (0.500, 0.500, 0.000)
Mo (0.000, 0.500, 0.500)
Mo (0.500, 0.000, 0.500)

Output
ΔH_f (0 K): 0.671 eV per atom
E: -7.452 eV per atom
theoretical density: 11.36 g cm⁻³
relative energy among the computed polymorphs: 90 kJ/mol of formula units

***

Entry 18:
DFT (PBE) results for a relaxed structure of Tl4FeMo.

Cell: 6.091 6.091 6.091 Å, 60.00 60.00 60.00°
Sites, in units of the cell vectors:
Tl (0.125, 0.125, 0.125)
Tl (0.125, 0.125, 0.625)
Tl (0.125, 0.625, 0.125)
Tl (0.625, 0.125, 0.125)
Fe (0.750, 0.750, 0.750)
Mo (0.500, 0.500, 0.500)

Output
ΔH_f (0 K): 1.252 eV per atom
E: -3.541 eV per atom
theoretical density: 10.07 g cm⁻³

***

Entry 19:
DFT (PBE) results for a relaxed structure of TlFe2Mo.

Cell: 4.788 2.856 4.918 Å, 90.00 109.47 90.00°
Sites, in units of the cell vectors:
Tl (0.000, 0.000, 0.000)
Fe (0.500, 0.000, 0.500)
Fe (0.500, 0.500, 0.000)
Mo (0.000, 0.500, 0.500)

Output
ΔH_f (0 K): 0.664 eV per atom
E: -6.867 eV per atom
theoretical density: 10.79 g cm⁻³

***

Entry 20:
DFT (PBE) results for a relaxed structure of TlFeMo2.

Cell: 4.921 4.921 4.921 Å, 131.52 131.52 70.98°
Sites, in units of the cell vectors:
Tl (0.000, 0.000, 0.000)
Fe (0.250, 0.750, 0.500)
Mo (0.500, 0.500, 0.000)
Mo (0.750, 0.250, 0.500)

Output
ΔH_f (0 K): 0.579 eV per atom
E: -7.544 eV per atom
theoretical density: 11.48 g cm⁻³
relative energy among the computed polymorphs: 54 kJ/mol of formula units

***

Entry 21:
DFT (PBE) results for a relaxed structure of TlFe2Mo.

Cell: 4.537 4.537 3.047 Å, 90.00 90.00 100.24°
Sites, in units of the cell vectors:
Tl (0.000, 0.000, 0.000)
Fe (0.000, 0.500, 0.500)
Fe (0.500, 0.000, 0.500)
Mo (0.500, 0.500, 0.000)

Output
ΔH_f (0 K): 0.616 eV per atom
E: -6.915 eV per atom
theoretical density: 11.09 g cm⁻³

***

Entry 22:
DFT (PBE) results for a relaxed structure of TlFe2Mo.

Cell: 4.066 4.066 3.773 Å, 90.00 90.00 90.00°
Sites, in units of the cell vectors:
Tl (0.000, 0.000, 0.000)
Fe (0.000, 0.500, 0.500)
Fe (0.500, 0.000, 0.500)
Mo (0.500, 0.500, 0.000)

Output
ΔH_f (0 K): 0.571 eV per atom
E: -6.960 eV per atom
theoretical density: 10.97 g cm⁻³

***

Entry 23:
DFT (PBE) results for a relaxed structure of TlFeMo2.

Cell: 2.869 2.869 7.894 Å, 90.00 90.00 90.00°
Sites, in units of the cell vectors:
Tl (0.000, 0.000, 0.000)
Fe (0.000, 0.000, 0.500)
Mo (0.500, 0.500, 0.295)
Mo (0.500, 0.500, 0.705)

Output
ΔH_f (0 K): 0.485 eV per atom
E: -7.638 eV per atom
theoretical density: 11.55 g cm⁻³
relative energy among the computed polymorphs: 18 kJ/mol of formula units

***

Entry 24:
DFT (PBE) results for a relaxed structure of Tl3FeMo.

Cell: 5.382 5.382 5.382 Å, 90.00 90.00 90.00°
Sites, in units of the cell vectors:
Tl (0.000, 0.000, 0.500)
Tl (0.000, 0.500, 0.000)
Tl (0.500, 0.000, 0.000)
Fe (0.500, 0.500, 0.500)
Mo (0.000, 0.000, 0.000)

Output
ΔH_f (0 K): 1.282 eV per atom
E: -3.996 eV per atom
theoretical density: 8.15 g cm⁻³
relative energy among the computed polymorphs: 90 kJ/mol of formula units

***

Entry 25:
DFT (PBE) results for a relaxed structure of TlFe2Mo.

Cell: 4.598 4.598 5.067 Å, 98.55 98.55 37.16°
Sites, in units of the cell vectors:
Tl (0.000, 0.000, 0.000)
Fe (0.245, 0.245, 0.693)
Fe (0.755, 0.755, 0.307)
Mo (0.500, 0.500, 0.500)

Output
ΔH_f (0 K): 0.558 eV per atom
E: -6.972 eV per atom
theoretical density: 10.70 g cm⁻³

***

Entry 26:
DFT (PBE) results for a relaxed structure of TlFe2Mo.

Cell: 2.799 2.799 8.637 Å, 90.00 90.00 109.10°
Sites, in units of the cell vectors:
Tl (0.000, 0.000, 0.000)
Fe (0.500, 0.500, 0.271)
Fe (0.500, 0.500, 0.729)
Mo (0.000, 0.000, 0.500)

Output
ΔH_f (0 K): 0.538 eV per atom
E: -6.993 eV per atom
theoretical density: 10.70 g cm⁻³

***

Entry 27:
DFT (PBE) results for a relaxed structure of TmFeMo.

Cell: 6.428 6.428 5.871 Å, 90.00 90.00 90.00°
Sites, in units of the cell vectors:
Tm (0.250, 0.250, 0.000)
Tm (0.250, 0.750, 0.250)
Tm (0.750, 0.250, 0.750)
Tm (0.750, 0.750, 0.500)
Fe (0.049, 0.049, 0.500)
Fe (0.451, 0.549, 0.750)
Fe (0.549, 0.451, 0.250)
Fe (0.951, 0.951, 0.000)
Mo (0.196, 0.804, 0.750)
Mo (0.304, 0.304, 0.500)
Mo (0.696, 0.696, 0.000)
Mo (0.804, 0.196, 0.250)

Output
ΔH_f (0 K): 0.481 eV per atom
E: -7.441 eV per atom
theoretical density: 8.78 g cm⁻³

***

Entry 28:
DFT (PBE) results for a relaxed structure of Tm3Fe8Mo.

Cell: 8.663 8.663 8.663 Å, 33.48 33.48 33.48°
Sites, in units of the cell vectors:
Tm (0.000, 0.000, 0.000)
Tm (0.126, 0.126, 0.126)
Tm (0.623, 0.623, 0.623)
Fe (0.060, 0.060, 0.558)
Fe (0.060, 0.558, 0.060)
Fe (0.068, 0.564, 0.564)
Fe (0.313, 0.313, 0.313)
Fe (0.558, 0.060, 0.060)
Fe (0.564, 0.068, 0.564)
Fe (0.564, 0.564, 0.068)
Fe (0.813, 0.813, 0.813)
Mo (0.499, 0.499, 0.499)

Output
ΔH_f (0 K): -0.069 eV per atom
E: -7.732 eV per atom
theoretical density: 9.89 g cm⁻³